Entry 1:
{
  "formula": "AcErSn2",
  "functional": "PBE-GGA",
  "state": "relaxed",
  "crystal_system": "tetragonal",
  "formation_enthalpy_0k_ev_per_atom": -0.5381,
  "magnetic_moment_mub_per_fu": 0.0,
  "total_energy_ev_per_atom": -4.7073,
  "cell": [[4.5174, 0.0000, 0.0000], [0.0000, 5.1856, 0.0000], [0.0000, 0.0000, 5.1856]],
  "species": ["Ac", "Sn", "Sn", "Er"],
  "fractional_positions": [[0.5000, 0.0000, 0.0000], [0.0000, 0.0000, 0.5000], [0.0000, 0.5000, 0.0000], [0.5000, 0.5000, 0.5000]]
}


Entry 2:
{
  "formula": "Ac3ErSn6",
  "functional": "PBE-GGA",
  "state": "relaxed",
  "crystal_system": "trigonal",
  "formation_enthalpy_0k_ev_per_atom": -0.6152,
  "magnetic_moment_mub_per_fu": 0.0,
  "total_energy_ev_per_atom": -4.7057,
  "cell": [[-4.9677, 4.8855, -5.1988], [-1.7506, -7.6706, -3.6976], [-5.6226, -0.6518, 6.5982]],
  "species": ["Ac", "Ac", "Ac", "Ac", "Ac", "Ac", "Er", "Er", "Sn", "Sn", "Sn", "Sn", "Sn", "Sn", "Sn", "Sn", "Sn", "Sn", "Sn", "Sn"],
  "fractional_positions": [[0.1815, 0.7500, 0.3185], [0.3185, 0.1815, 0.7500], [0.2500, 0.6815, 0.8185], [0.7500, 0.3185, 0.1815], [0.6815, 0.8185, 0.2500], [0.8185, 0.2500, 0.6815], [0.0000, 0.0000, 0.0000], [0.5000, 0.5000, 0.5000], [0.9117, 0.6361, 0.9860], [0.0140, 0.0883, 0.3639], [0.1361, 0.4118, 0.4861], [0.3639, 0.0140, 0.0883], [0.4118, 0.4861, 0.1361], [0.5139, 0.8639, 0.5882], [0.4861, 0.1361, 0.4118], [0.5882, 0.5139, 0.8639], [0.6361, 0.9860, 0.9117], [0.8639, 0.5882, 0.5139], [0.9860, 0.9117, 0.6361], [0.0883, 0.3639, 0.0140]]
}


Entry 3:
{
  "formula": "AcErSn2",
  "functional": "PBE-GGA",
  "state": "relaxed",
  "crystal_system": "monoclinic",
  "formation_enthalpy_0k_ev_per_atom": -0.5914,
  "magnetic_moment_mub_per_fu": 0.0,
  "total_energy_ev_per_atom": -4.7607,
  "cell": [[5.2198, -0.2958, -0.2651], [-2.8646, 4.3735, 0.2651], [-2.8153, -1.0930, 5.9847]],
  "species": ["Ac", "Er", "Sn", "Sn"],
  "fractional_positions": [[0.0000, 0.5000, 0.5000], [0.0000, 0.0000, 0.0000], [0.5450, 0.2631, 0.8081], [0.4550, 0.7369, 0.1918]]
}